A relaxed structure of BaTcAs2. Source: the Alexandria database, functional PBE.

## Properties
For the formation energy, the calculation gives 0.71 eV per formula unit. The calculation puts the magnetization at 0.0 μB per cell. For the density of states at the Fermi level, the calculation gives 0.985 states/eV/atom.

The structure in CIF format:
```
data_BaTcAs2
_symmetry_space_group_name_H-M 'P 1'
_symmetry_Int_Tables_number 1
_cell_length_a 6.998
_cell_length_b 6.998
_cell_length_c 6.998
_cell_angle_alpha 90.00
_cell_angle_beta 90.00
_cell_angle_gamma 90.00
loop_
_symmetry_equiv_pos_as_xyz
'x,y,z'
loop_
_atom_site_label
_atom_site_type_symbol
_atom_site_fract_x
_atom_site_fract_y
_atom_site_fract_z
Ba1 Ba 0.000 0.000 0.000
Ba2 Ba 0.000 0.500 0.500
Ba3 Ba 0.500 0.000 0.500
Ba4 Ba 0.500 0.500 0.000
Tc1 Tc 0.000 0.000 0.500
Tc2 Tc 0.000 0.500 0.000
Tc3 Tc 0.500 0.000 0.000
Tc4 Tc 0.500 0.500 0.500
As1 As 0.250 0.250 0.250
As2 As 0.250 0.250 0.750
As3 As 0.250 0.750 0.250
As4 As 0.250 0.750 0.750
As5 As 0.750 0.250 0.250
As6 As 0.750 0.250 0.750
As7 As 0.750 0.750 0.250
As8 As 0.750 0.750 0.750
```

A relaxed structure of BaTcAs2. Source: the Alexandria database, functional PBE.

## Properties
For the formation energy, the calculation gives -0.87 eV per formula unit. The calculation puts the magnetization at 0.0 μB per cell. For the density of states at the Fermi level, the calculation gives 1.017 states/eV/atom.

The structure in CIF format:
```
data_BaTcAs2
_symmetry_space_group_name_H-M 'P 1'
_symmetry_Int_Tables_number 1
_cell_length_a 3.339
_cell_length_b 3.658
_cell_length_c 15.205
_cell_angle_alpha 90.00
_cell_angle_beta 90.00
_cell_angle_gamma 90.00
loop_
_symmetry_equiv_pos_as_xyz
'x,y,z'
loop_
_atom_site_label
_atom_site_type_symbol
_atom_site_fract_x
_atom_site_fract_y
_atom_site_fract_z
Ba1 Ba 0.000 0.000 0.000
Ba2 Ba 0.500 0.500 0.500
Tc1 Tc 0.000 0.500 0.745
Tc2 Tc 0.500 0.000 0.245
As1 As 0.000 0.000 0.364
As2 As 0.000 0.500 0.178
As3 As 0.500 0.000 0.678
As4 As 0.500 0.500 0.864
```

A relaxed structure of BaTcAs2. Source: the Alexandria database, functional PBE.

## Properties
For the formation energy, the calculation gives -0.89 eV per formula unit. The calculation puts the magnetization at 0.0 μB per cell. For the density of states at the Fermi level, the calculation gives 0.907 states/eV/atom.

The structure in CIF format:
```
data_BaTcAs2
_symmetry_space_group_name_H-M 'P 1'
_symmetry_Int_Tables_number 1
_cell_length_a 3.281
_cell_length_b 3.281
_cell_length_c 7.753
_cell_angle_alpha 90.00
_cell_angle_beta 90.00
_cell_angle_gamma 90.00
loop_
_symmetry_equiv_pos_as_xyz
'x,y,z'
loop_
_atom_site_label
_atom_site_type_symbol
_atom_site_fract_x
_atom_site_fract_y
_atom_site_fract_z
Ba1 Ba 0.000 0.000 0.000
Tc1 Tc 0.000 0.000 0.500
As1 As 0.500 0.500 0.315
As2 As 0.500 0.500 0.685
```

A relaxed structure of BaTc2As. Source: the Alexandria database, functional PBE.

## Properties
For the formation energy, the calculation gives 4.15 eV per formula unit. The calculation puts the magnetization at 0.0 μB per cell. For the density of states at the Fermi level, the calculation gives 1.431 states/eV/atom.

The structure in CIF format:
```
data_BaTc2As
_symmetry_space_group_name_H-M 'P 1'
_symmetry_Int_Tables_number 1
_cell_length_a 3.264
_cell_length_b 4.472
_cell_length_c 5.431
_cell_angle_alpha 90.00
_cell_angle_beta 90.00
_cell_angle_gamma 90.00
loop_
_symmetry_equiv_pos_as_xyz
'x,y,z'
loop_
_atom_site_label
_atom_site_type_symbol
_atom_site_fract_x
_atom_site_fract_y
_atom_site_fract_z
Ba1 Ba 0.000 0.000 0.000
Tc1 Tc 0.000 0.500 0.500
Tc2 Tc 0.500 0.500 0.000
As1 As 0.500 0.000 0.500
```